## a
CsRb2I2 after structural relaxation, computed with PBE.

Cell and atoms, written as POSCAR:
```
CsRb2I2
1.0
-3.429 -9.721 -0.924
7.966 -3.351 5.695
-2.870 0.597 4.366
I Rb Cs
4 4 2
Cartesian
2.254 -2.642 1.843
5.563 -6.228 4.509
-1.026 -6.844 0.262
2.283 -10.430 2.927
-1.436 -3.604 2.716
3.230 -3.342 5.748
-1.563 -9.133 3.389
3.103 -8.871 6.420
2.269 -6.536 2.385
0.000 0.000 0.000
```

Volume   563.3 Å³ per cell
Theoretical density   3.3 Mg/m³
Density of states at the Fermi level   0.288 states/eV/atom

## b
CsRb2I2 after structural relaxation, computed with PBE.

Cell and atoms, written as POSCAR:
```
CsRb2I2
1.0
-3.116 3.116 8.854
3.116 -3.116 8.854
3.116 3.116 -8.854
Rb Cs I
2 1 2
Cartesian
3.116 0.000 4.427
0.000 3.116 4.427
0.000 0.000 0.000
0.000 0.000 6.389
0.000 0.000 11.320
```

Volume   343.9 Å³ per cell
Theoretical density   2.7 Mg/m³
Density of states at the Fermi level   0.529 states/eV/atom

Which one sits at the top of the stability order? a does.

## a
Cs2Rb2I after structural relaxation, computed with PBE.

Cell and atoms, written as POSCAR:
```
Cs2Rb2I
1.0
10.008 0.000 0.000
0.000 10.008 0.000
0.000 0.000 8.820
Rb Cs I
4 4 2
Cartesian
6.727 1.723 0.000
3.280 8.284 0.000
8.284 6.727 0.000
1.723 3.280 0.000
8.269 3.265 4.410
6.742 8.269 4.410
1.738 6.742 4.410
3.265 1.738 4.410
5.004 5.004 0.000
0.000 0.000 0.000
```

Volume   883.3 Å³ per cell
Theoretical density   2.1 Mg/m³
Density of states at the Fermi level   1.062 states/eV/atom

## b
Cs2Rb2I after structural relaxation, computed with PBE.

Cell and atoms, written as POSCAR:
```
Cs2Rb2I
1.0
-3.710 -5.650 0.147
5.652 -3.710 0.040
-0.829 4.982 17.894
Rb Cs I
4 4 2
Cartesian
2.940 -1.590 15.226
2.846 -1.820 2.803
1.070 -4.493 11.870
0.050 0.116 6.211
-1.733 -2.547 16.048
0.091 0.175 11.007
-1.839 -2.802 2.087
1.026 -4.553 7.074
0.985 -4.678 0.093
-1.798 -2.677 9.067
```

Volume   822.4 Å³ per cell
Theoretical density   2.3 Mg/m³
Density of states at the Fermi level   0.665 states/eV/atom

Which one sits at the top of the stability order? b does.

## a
Cs3RbI3 after structural relaxation, computed with PBE.

Cell and atoms, written as POSCAR:
```
Cs3RbI3
1.0
10.665 0.000 0.000
0.000 10.665 0.000
0.000 0.000 10.665
Cs Rb I
6 2 6
Cartesian
7.999 0.000 5.332
2.666 0.000 5.332
0.000 5.332 7.999
5.332 2.666 0.000
5.332 7.999 0.000
0.000 5.332 2.666
5.332 5.332 5.332
0.000 0.000 0.000
7.999 5.332 0.000
2.666 5.332 0.000
0.000 7.999 5.332
5.332 0.000 2.666
5.332 0.000 7.999
0.000 2.666 5.332
```

Volume   1213.0 Å³ per cell
Theoretical density   2.4 Mg/m³
Density of states at the Fermi level   0.543 states/eV/atom

## b
Cs3RbI3 after structural relaxation, computed with PBE.

Cell and atoms, written as POSCAR:
```
Cs3RbI3
1.0
-2.231 7.336 -1.062
-2.426 0.325 7.343
7.004 2.450 2.206
I Cs Rb
3 3 1
Cartesian
2.289 1.387 4.774
2.386 4.893 0.572
-2.329 3.830 3.141
-1.116 3.668 -0.531
3.502 1.225 1.103
-1.213 0.163 3.672
1.173 5.055 4.243
```

Volume   463.8 Å³ per cell
Theoretical density   3.1 Mg/m³
Density of states at the Fermi level   0.248 states/eV/atom

Which one sits at the top of the stability order? b does.